Entry 1:
This record from the Alexandria database describes an optimized crystal structure of SrTl4. The functional is PBE-GGA.

Calculated values
The formation energy is -0.19 eV/atom. Its symmetry is No. 74. As for the mass density: 9546 kg/m³. The density of states at the Fermi level comes out at 5.384 states/eV per cell. The calculation puts the total magnetic moment at 0.00 μB/f.u. As for the calculated total energy: -2.42 eV/atom.

Cell lengths 5.5282, 6.9400, 9.3301 Å; angles 111.83, 107.23, 90.00 degrees
Sites, in units of the cell vectors:
Tl 0.1146 0.3646 0.2293
Tl 0.6996 0.2030 0.3993
Tl 0.5000 0.0000 0.0000
Tl 0.3004 0.7970 0.6007
Tl 0.6996 0.6963 0.3993
Tl 0.8854 0.6354 0.7707
Tl 0.3004 0.3037 0.6007
Tl 0.5000 0.5000 0.0000
Sr 0.1012 0.8512 0.2024
Sr 0.8988 0.1488 0.7976

---

Entry 2:
This record from the Alexandria database describes an optimized crystal structure of Sr5Tl4. The functional is PBE-GGA.

Calculated values
The formation energy is -0.14 eV/atom. Its symmetry is No. 139. As for the mass density: 6111 kg/m³. The density of states at the Fermi level comes out at 8.605 states/eV per cell. The calculation puts the total magnetic moment at 0.00 μB/f.u. Its relative energy among the computed polymorphs is 0.187 eV per atom. As for the calculated total energy: -2.12 eV/atom.

Cell lengths 8.1547, 8.1547, 8.1547 Å; angles 97.53, 97.53, 137.55 degrees
Sites, in units of the cell vectors:
Tl 0.6511 0.0000 0.6511
Tl 0.3489 0.0000 0.3489
Tl 0.0000 0.3489 0.3489
Tl 0.0000 0.6511 0.6511
Sr 0.6778 0.3222 0.0000
Sr 0.3222 0.6778 0.0000
Sr 0.6778 0.6778 0.3555
Sr 0.0000 0.0000 0.0000
Sr 0.3222 0.3222 0.6445

---

Entry 3:
This record from the Alexandria database describes an optimized crystal structure of SrTl2. The functional is PBE-GGA.

Calculated values
The formation energy is -0.31 eV/atom. Its symmetry is No. 62. As for the mass density: 8501 kg/m³. The density of states at the Fermi level comes out at 8.041 states/eV per cell. The calculation puts the total magnetic moment at 0.00 μB/f.u. As for the calculated total energy: -2.45 eV/atom.

Cell lengths 5.3217, 7.0939, 10.2736 Å; angles 90.00, 90.00, 90.00 degrees
Sites, in units of the cell vectors:
Tl 0.7500 0.9582 0.2644
Tl 0.7500 0.3437 0.9235
Tl 0.7500 0.8437 0.5765
Tl 0.2500 0.5418 0.7644
Tl 0.2500 0.0418 0.7356
Tl 0.2500 0.1563 0.4235
Tl 0.7500 0.4582 0.2356
Tl 0.2500 0.6563 0.0765
Sr 0.2500 0.6674 0.4085
Sr 0.7500 0.8326 0.9085
Sr 0.7500 0.3326 0.5915
Sr 0.2500 0.1674 0.0915

---

Entry 4:
This record from the Alexandria database describes an optimized crystal structure of Sr5Tl4. The functional is PBE-GGA.

Calculated values
The formation energy is -0.32 eV/atom. Its symmetry is No. 193. As for the mass density: 6261 kg/m³. The density of states at the Fermi level comes out at 20.050 states/eV per cell. The calculation puts the total magnetic moment at 0.00 μB/f.u. Its relative energy among the computed polymorphs is 0.000 eV per atom. As for the calculated total energy: -2.31 eV/atom.

Cell lengths 10.3024, 10.3024, 7.2464 Å; angles 90.00, 90.00, 120.00 degrees
Sites, in units of the cell vectors:
Tl 0.0000 0.3776 0.2500
Tl 0.0000 0.0000 0.0000
Tl 0.6224 0.6224 0.2500
Tl 0.3776 0.0000 0.2500
Tl 0.0000 0.6224 0.7500
Tl 0.0000 0.0000 0.5000
Tl 0.6224 0.0000 0.7500
Tl 0.3776 0.3776 0.7500
Sr 0.3333 0.6667 0.0000
Sr 0.3333 0.6667 0.5000
Sr 0.7115 0.7115 0.7500
Sr 0.6667 0.3333 0.5000
Sr 0.0000 0.7115 0.2500
Sr 0.2885 0.0000 0.7500
Sr 0.2885 0.2885 0.2500
Sr 0.0000 0.2885 0.7500
Sr 0.6667 0.3333 0.0000
Sr 0.7115 0.0000 0.2500

---

Entry 5:
This record from the Alexandria database describes an optimized crystal structure of SrTl2. The functional is PBE-GGA.

Calculated values
The formation energy is -0.29 eV/atom. Its symmetry is No. 139. As for the mass density: 8313 kg/m³. The density of states at the Fermi level comes out at 1.350 states/eV per cell. The calculation puts the total magnetic moment at 0.00 μB/f.u. As for the calculated total energy: -2.42 eV/atom.

Cell lengths 4.0795, 4.0795, 6.6194 Å; angles 107.95, 107.95, 90.00 degrees
Sites, in units of the cell vectors:
Tl 0.6795 0.6795 0.3590
Tl 0.3205 0.3205 0.6410
Sr 0.0000 0.0000 0.0000

---

Entry 6:
This record from the Alexandria database describes an optimized crystal structure of SrTl8. The functional is PBE-GGA.

Calculated values
The formation energy is -0.11 eV/atom. Its symmetry is No. 139. As for the mass density: 10245 kg/m³. The density of states at the Fermi level comes out at 3.757 states/eV per cell. The calculation puts the total magnetic moment at 0.00 μB/f.u. As for the calculated total energy: -2.40 eV/atom.

Cell lengths 5.2729, 7.7397, 7.7397 Å; angles 83.34, 70.08, 70.08 degrees
Sites, in units of the cell vectors:
Tl 0.0000 0.3422 0.6578
Tl 0.3263 0.0000 0.3475
Tl 0.3263 0.3475 0.0000
Tl 0.6737 0.6525 0.0000
Tl 0.0000 0.6578 0.3422
Tl 0.3422 0.6578 0.6578
Tl 0.6578 0.3422 0.3422
Tl 0.6737 0.0000 0.6525
Sr 0.0000 0.0000 0.0000